! Cr2SiAu PBE relaxed; values from VASP
! Space-group type: P4/mmm (123)
! D(E_F): 1.24 states/eV/atom
! Total energy: -6.81 eV per atom
! ΔE_f (raw): 70 kJ/mol of formula units
&SYSTEM
  ibrav = 0, nat = 4, ntyp = 3
/
ATOMIC_SPECIES
Cr 52.00 Cr.upf
Si 28.09 Si.upf
Au 196.97 Au.upf
ATOMIC_POSITIONS angstrom
Cr 0.000 1.914 0.000
Cr 1.914 0.000 0.000
Si 0.000 0.000 1.907
Au 1.914 1.914 1.907
CELL_PARAMETERS angstrom
3.828 0.000 0.000
0.000 3.828 0.000
0.000 0.000 3.815

---

! K3Na3Ag2 PBE relaxed; values from VASP
! Space-group type: C2/m (12)
! Energy of formation from the pure elements: 0.017 eV per atom
! D(E_F): 0.40 states/eV/atom
! Total energy: -1.60 eV per atom
&SYSTEM
  ibrav = 0, nat = 16, ntyp = 3
/
ATOMIC_SPECIES
K 39.10 K.upf
Na 22.99 Na.upf
Ag 107.87 Ag.upf
ATOMIC_POSITIONS angstrom
K 0.000 0.000 0.000
K 2.986 0.000 3.761
K 6.433 2.515 2.657
K 10.280 2.515 0.000
K 13.267 2.515 3.761
K 16.714 0.000 2.657
Na -0.430 2.515 3.209
Na 2.859 2.515 0.613
Na 6.560 0.000 5.804
Na 9.850 0.000 3.209
Na 13.140 0.000 0.613
Na 16.841 2.515 5.804
Ag 4.679 0.000 0.572
Ag 4.741 2.515 5.846
Ag 14.959 2.515 0.572
Ag 15.021 0.000 5.846
CELL_PARAMETERS angstrom
20.561 0.000 0.000
0.000 5.029 0.000
-0.861 0.000 6.418

---

! Na2As2Br PBE relaxed; values from VASP
! Space-group type: P4/mbm (127)
! D(E_F): 0.43 states/eV/atom
! Total energy: -3.23 eV per atom
! ΔE_f (raw): -243 kJ/mol of formula units
&SYSTEM
  ibrav = 0, nat = 10, ntyp = 3
/
ATOMIC_SPECIES
Na 22.99 Na.upf
As 74.92 As.upf
Br 79.90 Br.upf
ATOMIC_POSITIONS angstrom
Na 1.574 2.478 0.000
Na 2.478 6.529 0.000
Na 5.626 1.574 0.000
Na 6.529 5.626 0.000
As 0.786 4.838 2.160
As 3.266 0.786 2.160
As 4.838 7.318 2.160
As 7.318 3.266 2.160
Br 0.000 0.000 0.000
Br 4.052 4.052 0.000
CELL_PARAMETERS angstrom
8.104 0.000 0.000
0.000 8.104 0.000
0.000 0.000 4.320

---

Please write out number 2 again, unchanged.
! K3Na3Ag2 PBE relaxed; values from VASP
! Space-group type: C2/m (12)
! Energy of formation from the pure elements: 0.017 eV per atom
! D(E_F): 0.40 states/eV/atom
! Total energy: -1.60 eV per atom
&SYSTEM
  ibrav = 0, nat = 16, ntyp = 3
/
ATOMIC_SPECIES
K 39.10 K.upf
Na 22.99 Na.upf
Ag 107.87 Ag.upf
ATOMIC_POSITIONS angstrom
K 0.000 0.000 0.000
K 2.986 0.000 3.761
K 6.433 2.515 2.657
K 10.280 2.515 0.000
K 13.267 2.515 3.761
K 16.714 0.000 2.657
Na -0.430 2.515 3.209
Na 2.859 2.515 0.613
Na 6.560 0.000 5.804
Na 9.850 0.000 3.209
Na 13.140 0.000 0.613
Na 16.841 2.515 5.804
Ag 4.679 0.000 0.572
Ag 4.741 2.515 5.846
Ag 14.959 2.515 0.572
Ag 15.021 0.000 5.846
CELL_PARAMETERS angstrom
20.561 0.000 0.000
0.000 5.029 0.000
-0.861 0.000 6.418